# 1
# CrAgRh2N PBE relaxed
# **Calculated volume**: 19.526 Å³ per atom
# **Raw formation energy**: 2.03 eV/atom
# **Density**: 6.5 g/cm³
# **Energy above the lowest structure with this stoichiometry**: 1970.2 meV per atom
data_CrAgRh2N
_space_group_name_H-M_alt 'P 4/m m m'
_space_group_IT_number 123
_space_group_name_Hall '-P 4 2'
_cell_length_a 4.413
_cell_length_b 4.413
_cell_length_c 5.013
_cell_angle_alpha 90.00
_cell_angle_beta 90.00
_cell_angle_gamma 90.00
loop_
_atom_site_label
_atom_site_type_symbol
_atom_site_fract_x
_atom_site_fract_y
_atom_site_fract_z
Cr1 Cr 0.000 0.000 0.000
Ag1 Ag 0.000 0.000 0.500
Rh1 Rh 0.000 0.500 0.000
N1 N 0.500 0.500 0.500



# 2
# CrAgRh2N PBE relaxed
# **Calculated volume**: 13.454 Å³ per atom
# **Raw formation energy**: 0.06 eV/atom
# **Density**: 9.4 g/cm³
# **Energy above the lowest structure with this stoichiometry**: 0.0 meV per atom
data_CrAgRh2N
_space_group_name_H-M_alt 'P 4/m m m'
_space_group_IT_number 123
_space_group_name_Hall '-P 4 2'
_cell_length_a 4.134
_cell_length_b 4.134
_cell_length_c 3.937
_cell_angle_alpha 90.00
_cell_angle_beta 90.00
_cell_angle_gamma 90.00
loop_
_atom_site_label
_atom_site_type_symbol
_atom_site_fract_x
_atom_site_fract_y
_atom_site_fract_z
Cr1 Cr 0.000 0.000 0.000
Ag1 Ag 0.500 0.500 0.000
Rh1 Rh 0.000 0.500 0.500
N1 N 0.000 0.000 0.500



# 3
# CrAgS2N PBE relaxed
# **Calculated volume**: 18.315 Å³ per atom
# **Raw formation energy**: 1.75 eV/atom
# **Density**: 4.3 g/cm³
# **Energy above the lowest structure with this stoichiometry**: 1480.8 meV per atom
data_CrAgS2N
_space_group_name_H-M_alt 'P 4/m m m'
_space_group_IT_number 123
_space_group_name_Hall '-P 4 2'
_cell_length_a 4.884
_cell_length_b 4.884
_cell_length_c 3.839
_cell_angle_alpha 90.00
_cell_angle_beta 90.00
_cell_angle_gamma 90.00
loop_
_atom_site_label
_atom_site_type_symbol
_atom_site_fract_x
_atom_site_fract_y
_atom_site_fract_z
Cr1 Cr 0.000 0.000 0.000
Ag1 Ag 0.500 0.500 0.500
S1 S 0.000 0.500 0.500
N1 N 0.500 0.500 0.000



# 4
# CrAgS2N PBE relaxed
# **Calculated volume**: 15.613 Å³ per atom
# **Raw formation energy**: 0.27 eV/atom
# **Density**: 5.1 g/cm³
# **Energy above the lowest structure with this stoichiometry**: 0.0 meV per atom
data_CrAgS2N
_space_group_name_H-M_alt 'P 4/m m m'
_space_group_IT_number 123
_space_group_name_Hall '-P 4 2'
_cell_length_a 4.706
_cell_length_b 4.706
_cell_length_c 3.525
_cell_angle_alpha 90.00
_cell_angle_beta 90.00
_cell_angle_gamma 90.00
loop_
_atom_site_label
_atom_site_type_symbol
_atom_site_fract_x
_atom_site_fract_y
_atom_site_fract_z
Cr1 Cr 0.000 0.000 0.000
Ag1 Ag 0.500 0.500 0.500
S1 S 0.000 0.500 0.000
N1 N 0.000 0.000 0.500



# 5
# CrAgSb2N PBE relaxed
# **Calculated volume**: 22.461 Å³ per atom
# **Raw formation energy**: 1.69 eV/atom
# **Density**: 6.2 g/cm³
data_CrAgSb2N
_space_group_name_H-M_alt 'P 4/m m m'
_space_group_IT_number 123
_space_group_name_Hall '-P 4 2'
_cell_length_a 5.433
_cell_length_b 5.433
_cell_length_c 3.805
_cell_angle_alpha 90.00
_cell_angle_beta 90.00
_cell_angle_gamma 90.00
loop_
_atom_site_label
_atom_site_type_symbol
_atom_site_fract_x
_atom_site_fract_y
_atom_site_fract_z
Cr1 Cr 0.000 0.000 0.000
Ag1 Ag 0.500 0.500 0.500
Sb1 Sb 0.000 0.500 0.500
N1 N 0.500 0.500 0.000



# 6
# ScCr2AgN PBE relaxed
# **Calculated volume**: 20.319 Å³ per atom
# **Raw formation energy**: 1.52 eV/atom
# **Density**: 4.4 g/cm³
data_ScCr2AgN
_space_group_name_H-M_alt 'P 4/m m m'
_space_group_IT_number 123
_space_group_name_Hall '-P 4 2'
_cell_length_a 5.095
_cell_length_b 5.095
_cell_length_c 3.913
_cell_angle_alpha 90.00
_cell_angle_beta 90.00
_cell_angle_gamma 90.00
loop_
_atom_site_label
_atom_site_type_symbol
_atom_site_fract_x
_atom_site_fract_y
_atom_site_fract_z
Sc1 Sc 0.000 0.000 0.000
Cr1 Cr 0.000 0.500 0.500
Ag1 Ag 0.500 0.500 0.500
N1 N 0.500 0.500 0.000



# 7
# CrAgSe2N PBE relaxed
# **Calculated volume**: 20.232 Å³ per atom
# **Raw formation energy**: 1.66 eV/atom
# **Density**: 5.4 g/cm³
# **Energy above the lowest structure with this stoichiometry**: 1425.7 meV per atom
data_CrAgSe2N
_space_group_name_H-M_alt 'P 4/m m m'
_space_group_IT_number 123
_space_group_name_Hall '-P 4 2'
_cell_length_a 5.129
_cell_length_b 5.129
_cell_length_c 3.845
_cell_angle_alpha 90.00
_cell_angle_beta 90.00
_cell_angle_gamma 90.00
loop_
_atom_site_label
_atom_site_type_symbol
_atom_site_fract_x
_atom_site_fract_y
_atom_site_fract_z
Cr1 Cr 0.000 0.000 0.000
Ag1 Ag 0.500 0.500 0.500
Se1 Se 0.000 0.500 0.500
N1 N 0.500 0.500 0.000



# 8
# CrAgSe2N PBE relaxed
# **Calculated volume**: 17.379 Å³ per atom
# **Raw formation energy**: 0.23 eV/atom
# **Density**: 6.3 g/cm³
# **Energy above the lowest structure with this stoichiometry**: 0.0 meV per atom
data_CrAgSe2N
_space_group_name_H-M_alt 'P 4/m m m'
_space_group_IT_number 123
_space_group_name_Hall '-P 4 2'
_cell_length_a 4.967
_cell_length_b 4.967
_cell_length_c 3.523
_cell_angle_alpha 90.00
_cell_angle_beta 90.00
_cell_angle_gamma 90.00
loop_
_atom_site_label
_atom_site_type_symbol
_atom_site_fract_x
_atom_site_fract_y
_atom_site_fract_z
Cr1 Cr 0.000 0.000 0.000
Ag1 Ag 0.500 0.500 0.500
Se1 Se 0.000 0.500 0.000
N1 N 0.000 0.000 0.500



# 9
# CrSiAgN2 PBE relaxed
# **Calculated volume**: 14.079 Å³ per atom
# **Raw formation energy**: 0.75 eV/atom
# **Density**: 5.1 g/cm³
data_CrSiAgN2
_space_group_name_H-M_alt 'P 4/m m m'
_space_group_IT_number 123
_space_group_name_Hall '-P 4 2'
_cell_length_a 3.648
_cell_length_b 3.648
_cell_length_c 5.291
_cell_angle_alpha 90.00
_cell_angle_beta 90.00
_cell_angle_gamma 90.00
loop_
_atom_site_label
_atom_site_type_symbol
_atom_site_fract_x
_atom_site_fract_y
_atom_site_fract_z
Cr1 Cr 0.000 0.000 0.000
Si1 Si 0.000 0.000 0.500
Ag1 Ag 0.500 0.500 0.500
N1 N 0.000 0.500 0.000



# 10
# CrAgTeN2 PBE relaxed
# **Calculated volume**: 17.116 Å³ per atom
# **Raw formation energy**: 2.06 eV/atom
# **Density**: 6.1 g/cm³
# **Energy above the lowest structure with this stoichiometry**: 1498.0 meV per atom
data_CrAgTeN2
_space_group_name_H-M_alt 'P 4/m m m'
_space_group_IT_number 123
_space_group_name_Hall '-P 4 2'
_cell_length_a 4.117
_cell_length_b 4.117
_cell_length_c 5.049
_cell_angle_alpha 90.00
_cell_angle_beta 90.00
_cell_angle_gamma 90.00
loop_
_atom_site_label
_atom_site_type_symbol
_atom_site_fract_x
_atom_site_fract_y
_atom_site_fract_z
Cr1 Cr 0.000 0.000 0.000
Ag1 Ag 0.500 0.500 0.000
Te1 Te 0.000 0.000 0.500
N1 N 0.000 0.500 0.500



# 11
# CrAgTe2N PBE relaxed
# **Calculated volume**: 20.907 Å³ per atom
# **Raw formation energy**: 0.19 eV/atom
# **Density**: 6.8 g/cm³
# **Energy above the lowest structure with this stoichiometry**: 0.0 meV per atom
data_CrAgTe2N
_space_group_name_H-M_alt 'P 4/m m m'
_space_group_IT_number 123
_space_group_name_Hall '-P 4 2'
_cell_length_a 5.450
_cell_length_b 5.450
_cell_length_c 3.519
_cell_angle_alpha 90.00
_cell_angle_beta 90.00
_cell_angle_gamma 90.00
loop_
_atom_site_label
_atom_site_type_symbol
_atom_site_fract_x
_atom_site_fract_y
_atom_site_fract_z
Cr1 Cr 0.000 0.000 0.000
Ag1 Ag 0.500 0.500 0.500
Te1 Te 0.000 0.500 0.000
N1 N 0.000 0.000 0.500



# 12
# CrAgTeN2 PBE relaxed
# **Calculated volume**: 22.818 Å³ per atom
# **Raw formation energy**: 1.81 eV/atom
# **Density**: 4.6 g/cm³
# **Energy above the lowest structure with this stoichiometry**: 1243.8 meV per atom
data_CrAgTeN2
_space_group_name_H-M_alt 'P 4/m m m'
_space_group_IT_number 123
_space_group_name_Hall '-P 4 2'
_cell_length_a 4.055
_cell_length_b 4.055
_cell_length_c 6.939
_cell_angle_alpha 90.00
_cell_angle_beta 90.00
_cell_angle_gamma 90.00
loop_
_atom_site_label
_atom_site_type_symbol
_atom_site_fract_x
_atom_site_fract_y
_atom_site_fract_z
Cr1 Cr 0.000 0.000 0.000
Ag1 Ag 0.500 0.500 0.500
Te1 Te 0.500 0.500 0.000
N1 N 0.000 0.500 0.500